VASP calculation (GGA-PBE) on a relaxed structure of LaPm2DySc.

Structure (CIF):
```
data_LaPm2DySc
_cell_length_a 5.0661
_cell_length_b 7.9576
_cell_length_c 7.9777
_cell_angle_alpha 89.16
_cell_angle_beta 90.00
_cell_angle_gamma 90.00
_symmetry_space_group_name_H-M 'P 1'
_symmetry_Int_Tables_number 1
loop_
_symmetry_equiv_pos_as_xyz
'x,y,z'
loop_
_atom_site_label
_atom_site_fract_x
_atom_site_fract_y
_atom_site_fract_z
Sc1 0.2500 0.5504 0.6494
Pm1 0.7500 0.6491 0.9534
Pm2 0.7500 0.8398 0.5517
Sc2 0.7500 0.4496 0.3506
Pm3 0.2500 0.1602 0.4483
Dy1 0.7500 0.0557 0.1516
La1 0.7500 0.2551 0.7417
Dy2 0.2500 0.9443 0.8484
Pm4 0.2500 0.3509 0.0466
La2 0.2500 0.7449 0.2583
```

- Calculated density: 6.572 g/cm3
- Calculated volume: 32.2 A^3/atom
- Energy relative to the elements: 0.050 eV/atom
- M_tot: 0.00 Bohr magnetons per cell